# 1
Computed, not measured: SbTe2PdO after structural relaxation at the PBE-GGA level of DFT.

* E_form (uncorrected): 1.03 eV per formula unit
* crystal system: tetragonal
* distance to the lowest polymorph of the same formula: 0 meV per atom

Unit cell a=4.804 b=4.804 c=4.721 alpha=90.00 beta=90.00 gamma=90.00
Element x y z (fractional)
Sb 0.000 0.000 0.000
Te 0.000 0.500 0.500
Te 0.500 0.000 0.500
Pd 0.500 0.500 0.000
O 0.000 0.000 0.500

***

# 2
Computed, not measured: NaUMnS3 after structural relaxation at the PBE-GGA level of DFT.

* E_form (uncorrected): -6.35 eV per formula unit
* crystal system: monoclinic

Unit cell a=8.109 b=3.895 c=8.854 alpha=90.00 beta=103.24 gamma=90.00
Element x y z (fractional)
Na 0.183 0.250 0.216
Na 0.817 0.750 0.784
U 0.330 0.750 0.839
U 0.670 0.250 0.161
Mn 0.077 0.250 0.593
Mn 0.923 0.750 0.407
S 0.105 0.250 0.862
S 0.207 0.750 0.530
S 0.432 0.750 0.158
S 0.568 0.250 0.842
S 0.793 0.250 0.470
S 0.895 0.750 0.138

***

# 3
Computed, not measured: KRb5Au3 after structural relaxation at the PBE-GGA level of DFT.

* energy of formation from the pure elements: -1.47 eV/f.u.
* crystal system: monoclinic

Unit cell a=8.448 b=4.788 c=25.330 alpha=90.00 beta=91.03 gamma=90.00
Element x y z (fractional)
K 0.205 0.000 0.235
K 0.795 0.000 0.765
Rb 0.180 0.000 0.909
Rb 0.235 0.000 0.564
Rb 0.262 0.500 0.394
Rb 0.296 0.500 0.738
Rb 0.319 0.500 0.077
Rb 0.681 0.500 0.923
Rb 0.704 0.500 0.262
Rb 0.738 0.500 0.606
Rb 0.765 0.000 0.436
Rb 0.820 0.000 0.091
Au 0.000 0.500 0.500
Au 0.011 0.500 0.170
Au 0.489 0.000 0.330
Au 0.500 0.000 0.000
Au 0.511 0.000 0.670
Au 0.989 0.500 0.830

***

# 4
Computed, not measured: LiTaS2Br after structural relaxation at the PBE-GGA level of DFT.

* E_form (uncorrected): 2.46 eV per formula unit
* crystal system: tetragonal

Unit cell a=4.456 b=4.456 c=4.523 alpha=90.00 beta=90.00 gamma=90.00
Element x y z (fractional)
Li 0.000 0.000 0.000
Ta 0.500 0.500 0.500
S 0.000 0.500 0.000
S 0.500 0.000 0.000
Br 0.000 0.000 0.500

***

# 5
Computed, not measured: HgSe2BrCl after structural relaxation at the PBE-GGA level of DFT.

* E_form (uncorrected): 3.00 eV per formula unit
* crystal system: tetragonal
* distance to the lowest polymorph of the same formula: 0 meV per atom

Unit cell a=5.469 b=5.469 c=5.415 alpha=90.00 beta=90.00 gamma=90.00
Element x y z (fractional)
Hg 0.000 0.000 0.000
Se 0.000 0.500 0.000
Se 0.500 0.000 0.000
Br 0.000 0.000 0.500
Cl 0.500 0.500 0.500

***

# 6
Computed, not measured: Sm2DyZn6 after structural relaxation at the PBE-GGA level of DFT.

* energy of formation from the pure elements: -3.30 eV/f.u.
* crystal system: hexagonal

Unit cell a=7.829 b=7.829 c=3.551 alpha=90.00 beta=90.00 gamma=120.00
Element x y z (fractional)
Sm 0.333 0.667 0.000
Sm 0.667 0.333 0.000
Dy 0.000 0.000 0.000
Zn 0.000 0.331 0.500
Zn 0.000 0.669 0.500
Zn 0.331 0.000 0.500
Zn 0.331 0.331 0.500
Zn 0.669 0.000 0.500
Zn 0.669 0.669 0.500

***

# 7
Computed, not measured: LiMgZn14 after structural relaxation at the PBE-GGA level of DFT.

* energy of formation from the pure elements: -0.70 eV/f.u.
* crystal system: tetragonal

Unit cell a=5.697 b=5.697 c=7.567 alpha=90.00 beta=90.00 gamma=90.00
Element x y z (fractional)
Li 0.000 0.000 0.000
Mg 0.500 0.500 0.000
Zn 0.000 0.000 0.500
Zn 0.000 0.500 0.000
Zn 0.000 0.500 0.500
Zn 0.246 0.246 0.257
Zn 0.246 0.246 0.743
Zn 0.246 0.754 0.257
Zn 0.246 0.754 0.743
Zn 0.500 0.000 0.000
Zn 0.500 0.000 0.500
Zn 0.500 0.500 0.500
Zn 0.754 0.246 0.257
Zn 0.754 0.246 0.743
Zn 0.754 0.754 0.257
Zn 0.754 0.754 0.743

***

# 8
Computed, not measured: TaZn2PO after structural relaxation at the PBE-GGA level of DFT.

* E_form (uncorrected): 0.52 eV per formula unit
* crystal system: tetragonal
* distance to the lowest polymorph of the same formula: 111 meV per atom

Unit cell a=3.740 b=3.740 c=5.706 alpha=90.00 beta=90.00 gamma=90.00
Element x y z (fractional)
Ta 0.000 0.000 0.000
Zn 0.000 0.500 0.500
Zn 0.500 0.000 0.500
P 0.500 0.500 0.000
O 0.500 0.500 0.500

***

Please write out number 8 again, unchanged.
Computed, not measured: TaZn2PO after structural relaxation at the PBE-GGA level of DFT.

* E_form (uncorrected): 0.52 eV per formula unit
* crystal system: tetragonal
* distance to the lowest polymorph of the same formula: 111 meV per atom

Unit cell a=3.740 b=3.740 c=5.706 alpha=90.00 beta=90.00 gamma=90.00
Element x y z (fractional)
Ta 0.000 0.000 0.000
Zn 0.000 0.500 0.500
Zn 0.500 0.000 0.500
P 0.500 0.500 0.000
O 0.500 0.500 0.500

***

What did the second record say?
Computed, not measured: NaUMnS3 after structural relaxation at the PBE-GGA level of DFT.

* E_form (uncorrected): -6.35 eV per formula unit
* crystal system: monoclinic

Unit cell a=8.109 b=3.895 c=8.854 alpha=90.00 beta=103.24 gamma=90.00
Element x y z (fractional)
Na 0.183 0.250 0.216
Na 0.817 0.750 0.784
U 0.330 0.750 0.839
U 0.670 0.250 0.161
Mn 0.077 0.250 0.593
Mn 0.923 0.750 0.407
S 0.105 0.250 0.862
S 0.207 0.750 0.530
S 0.432 0.750 0.158
S 0.568 0.250 0.842
S 0.793 0.250 0.470
S 0.895 0.750 0.138